The following is a DFT calculation (GGA-PBE) of a geometry-optimized La12Mg3Cd structure.

The structure in CIF format:
```
data_La12Mg3Cd
_chemical_formula_sum 'La12 Mg3 Cd1'
_symmetry_space_group_name_H-M 'P 4/m m m'
_symmetry_Int_Tables_number 123
_symmetry_space_group_name_Hall '-P 4 2'
_cell_length_a 5.110
_cell_length_b 5.110
_cell_length_c 20.458
_cell_angle_alpha 90.00
_cell_angle_beta 90.00
_cell_angle_gamma 90.00
loop_
_atom_site_label
_atom_site_type_symbol
_atom_site_fract_x
_atom_site_fract_y
_atom_site_fract_z
La1 La 0.000 0.000 0.000
La2 La 0.000 0.000 0.249
La3 La 0.000 0.000 0.500
La4 La 0.000 0.500 0.123
La5 La 0.000 0.500 0.374
Mg1 Mg 0.500 0.500 0.249
Mg2 Mg 0.500 0.500 0.500
Cd1 Cd 0.500 0.500 0.000
```

Computed properties:
M_tot = 0.00 μB/cell
N(E_F) = 25.91 states/eV per cell
energy of formation = -0.8 eV/f.u.
raw total energy = -0.301 Ry per atom